# 1
# Dy2Mg2Zr | Alexandria | PBE | relaxed
data_Dy2Mg2Zr
_cell_length_a 3.395
_cell_length_b 3.395
_cell_length_c 22.926
_cell_angle_alpha 90.00
_cell_angle_beta 90.00
_cell_angle_gamma 90.00
_symmetry_space_group_name_H-M 'I 4/m m m'
_symmetry_Int_Tables_number 139
_symmetry_space_group_name_Hall '-I 4 2'
loop_
_atom_site_label
_atom_site_type_symbol
_atom_site_fract_x
_atom_site_fract_y
_atom_site_fract_z
Dy1 Dy 0.000 0.000 0.101
Mg1 Mg 0.000 0.000 0.293
Zr1 Zr 0.000 0.000 0.500
# Crystal system: tetragonal
# DFT formation energy (eV per atom): -0.03

---

# 2
# Dy2Mg6Zr | Alexandria | PBE | relaxed
data_Dy2Mg6Zr
_cell_length_a 8.9218
_cell_length_b 8.9218
_cell_length_c 3.2083
_cell_angle_alpha 90.00
_cell_angle_beta 90.00
_cell_angle_gamma 120.00
_symmetry_space_group_name_H-M 'P 6/m m m'
_symmetry_Int_Tables_number 191
_symmetry_space_group_name_Hall '-P 6 2'
loop_
_atom_site_label
_atom_site_type_symbol
_atom_site_fract_x
_atom_site_fract_y
_atom_site_fract_z
Dy1 Dy 0.3333 0.6667 0.0000
Mg1 Mg 0.0000 0.3257 0.5000
Zr1 Zr 0.0000 0.0000 0.0000
# Crystal system: hexagonal
# DFT formation energy (eV per atom): 0.00